SbAs2Pb | GGA-PBE | optimized geometry

```
SbAs2Pb
1.0
0.000 3.639 3.639
3.639 0.000 3.639
3.639 3.639 0.000
Sb As Pb
1 2 1
direct
0.000 0.000 0.000
0.250 0.250 0.250
0.750 0.750 0.750
0.500 0.500 0.500
```

## Properties
Density of states at the Fermi level   0.823 states/eV per atom
Total magnetization   0.00 μB per formula unit
Uncorrected energy   -16.036 eV/f.u.
Crystal system   cubic
Formation energy (no corrections)   0.274 eV per atom
Energy above the most stable polymorph in this dataset   0.96 eV per formula unit